Entry from the Alexandria database: crystalline HoAlCd2 at its relaxed geometry (PBE).

Computed properties:
* formation enthalpy at 0 K: -257 meV/atom
* energy above the most stable polymorph in this dataset: 0.000 eV per formula unit
* total magnetization: 0.000 μB per atom
* DFT total energy: -2.7943 eV per atom

Cell lengths 4.6905, 4.3695, 4.3695 Å; angles 90.00, 90.00, 90.00 degrees
Fractional positions:
Al: 0.5000 0.0000 0.0000
Ho: 0.5000 0.5000 0.5000
Cd: 0.0000 0.5000 0.0000
Cd: 0.0000 0.0000 0.5000